{
  "formula": "MnZn2BO4",
  "functional": "PBE with a Hubbard U",
  "state": "optimized geometry",
  "final_energy_ev_per_atom": -6.069,
  "lattice": [[-2.2699, 2.2699, 4.2792], [2.2699, -2.2699, 4.2792], [2.2699, 2.2699, -4.2792]],
  "species": ["Mn", "Zn", "Zn", "B", "O", "O", "O", "O"],
  "frac_coords": [[0.0000, 0.0000, 0.0000], [0.2500, 0.7500, 0.5000], [0.7500, 0.2500, 0.5000], [0.5000, 0.5000, 0.0000], [0.2055, 0.5909, 0.0000], [0.4091, 0.4091, 0.6146], [0.5909, 0.2055, 0.0000], [0.7945, 0.7945, 0.3854]]
}